Entry 1:
Computed, not measured: a geometry-optimized ScTiCu structure at the PBE level of DFT.

Total moment in μB/atom: 0.000
Formation energy from the elements in meV/atom: 10
SG: P1 (1)

Cell lengths 7.230, 3.132, 5.711 Å; angles 105.90, 100.23, 115.72 degrees
Sites, in units of the cell vectors:
Sc1 0.816 0.491 0.067
Sc2 0.025 0.009 0.682
Cu1 0.178 0.504 0.367
Cu2 0.466 0.477 0.740
Ti1 0.349 0.037 0.092
Ti2 0.627 0.996 0.456


Entry 2:
Computed, not measured: a geometry-optimized CaTaH structure at the PBE level of DFT.

Final energy in eV/atom: -3.72
Total moment in μB/atom: 0.948
SG: P6_3/mmc (194)

Cell lengths 5.113, 5.113, 5.993 Å; angles 90.00, 90.00, 120.00 degrees
Last column: magnetic moment on the atom in μB.
Sites, in units of the cell vectors:
H1 0.000 0.000 0.000  -0.03
H2 0.000 0.000 0.500  -0.04
Ca1 0.333 0.667 0.250  0.22
Ca2 0.667 0.333 0.750  0.22
Ta1 0.333 0.667 0.750  1.68
Ta2 0.667 0.333 0.250  1.68


Entry 3:
Computed, not measured: a geometry-optimized TaIO structure at the PBE level of DFT.

Raw formation energy in meV/atom: -1102
Total moment in μB/atom: 0.000
SG: Ama2 (40)

Cell lengths 3.695, 11.622, 6.377 Å; angles 90.00, 90.00, 90.00 degrees
Sites, in units of the cell vectors:
Ta1 0.250 0.092 0.401
Ta2 0.750 0.908 0.401
Ta3 0.250 0.592 0.901
Ta4 0.750 0.408 0.901
I1 0.250 0.831 0.058
I2 0.750 0.169 0.058
I3 0.250 0.331 0.558
I4 0.750 0.669 0.558
O1 0.250 0.930 0.533
O2 0.750 0.070 0.533
O3 0.250 0.430 0.033
O4 0.750 0.570 0.033


Entry 4:
Computed, not measured: a geometry-optimized Pm4GaTe2S structure at the PBE level of DFT.

Raw formation energy in meV/atom: -1382
Total moment in μB/atom: 0.000
SG: P2/m (10)

Cell lengths 4.252, 7.408, 7.668 Å; angles 108.69, 90.00, 90.00 degrees
Sites, in units of the cell vectors:
Pm1 0.500 0.239 0.218
Pm2 0.500 0.761 0.782
Pm3 0.000 0.257 0.774
Pm4 0.000 0.743 0.226
Ga1 0.500 0.500 0.000
Te1 0.500 0.000 0.500
Te2 0.000 0.500 0.500
S1 0.000 0.000 0.000


Entry 5:
Computed, not measured: a geometry-optimized Ga2Sn2Pd5Au structure at the PBE level of DFT.

Total moment in μB/atom: 0.000
Formation energy from the elements in meV/atom: -374
SG: P4/mbm (127)

Cell lengths 3.448, 10.138, 10.138 Å; angles 90.00, 90.00, 90.00 degrees
Sites, in units of the cell vectors:
Ga1 0.000 0.140 0.640
Ga2 0.000 0.860 0.360
Ga3 0.000 0.640 0.860
Ga4 0.000 0.360 0.140
Sn1 0.000 0.670 0.170
Sn2 0.000 0.330 0.830
Sn3 0.000 0.170 0.330
Sn4 0.000 0.830 0.670
Pd1 0.500 0.216 0.013
Pd2 0.500 0.784 0.987
Pd3 0.500 0.013 0.784
Pd4 0.500 0.716 0.487
Pd5 0.500 0.987 0.216
Pd6 0.500 0.284 0.513
Pd7 0.500 0.513 0.716
Pd8 0.500 0.487 0.284
Pd9 0.500 0.500 0.000
Pd10 0.500 0.000 0.500
Au1 0.000 0.000 0.000
Au2 0.000 0.500 0.500


Entry 6:
Computed, not measured: a geometry-optimized LaHo2ErAs4 structure at the PBE level of DFT.

Total moment in μB/atom: 0.000
Formation energy from the elements in meV/atom: -1518
SG: P2/m (10)

Cell lengths 4.170, 7.217, 7.215 Å; angles 70.57, 90.00, 90.00 degrees
Sites, in units of the cell vectors:
La1 0.500 0.500 0.000
Ho1 0.000 0.000 0.000
Ho2 0.500 0.000 0.500
Er1 0.000 0.500 0.500
As1 0.000 0.760 0.740
As2 0.000 0.240 0.260
As3 0.500 0.754 0.256
As4 0.500 0.246 0.744


Entry 7:
Computed, not measured: a geometry-optimized K2LiTl6 structure at the PBE level of DFT.

Total moment in μB/atom: 0.000
Formation energy from the elements in meV/atom: -82
SG: C2/m (12)

Cell lengths 7.084, 7.123, 7.123 Å; angles 54.64, 85.88, 85.88 degrees
Sites, in units of the cell vectors:
K1 0.856 0.666 0.666
K2 0.144 0.334 0.334
Li1 0.000 0.000 0.000
Tl1 0.312 0.328 0.826
Tl2 0.352 0.811 0.811
Tl3 0.312 0.826 0.328
Tl4 0.688 0.672 0.174
Tl5 0.648 0.189 0.189
Tl6 0.688 0.174 0.672


Entry 8:
Computed, not measured: a geometry-optimized Li2CaZr structure at the PBE level of DFT.

Total moment in μB/atom: 0.027
Formation energy from the elements in meV/atom: 327
SG: R-3m (166)

Cell lengths 10.848, 10.848, 10.848 Å; angles 17.42, 17.42, 17.42 degrees
Last column: magnetic moment on the atom in μB.
Sites, in units of the cell vectors:
Ca1 0.750 0.750 0.750  0.00
Li1 0.995 0.995 0.995  0.00
Li2 0.505 0.505 0.505  0.00
Zr1 0.250 0.250 0.250  0.07


Entry 9:
Computed, not measured: a geometry-optimized FeTcTe2 structure at the PBE level of DFT.

Raw formation energy in meV/atom: 63
Total moment in μB/atom: 0.232
SG: Cm (8)

Cell lengths 3.965, 3.965, 7.054 Å; angles 73.81, 73.81, 59.98 degrees
Last column: magnetic moment on the atom in μB.
Sites, in units of the cell vectors:
Fe1 0.524 0.524 0.428  1.23
Tc1 0.218 0.218 0.344  -0.31
Te1 0.967 0.967 0.097  0.03
Te2 0.791 0.791 0.630  -0.02


Entry 10:
Computed, not measured: a geometry-optimized Nd5Dy2Er6 structure at the PBE level of DFT.

Total moment in μB/atom: 0.000
Formation energy from the elements in meV/atom: 95
SG: Pbam (55)

Cell lengths 3.590, 11.632, 20.509 Å; angles 90.00, 90.00, 90.00 degrees
Sites, in units of the cell vectors:
Nd1 0.500 0.301 0.450
Nd2 0.500 0.699 0.550
Nd3 0.500 0.801 0.050
Nd4 0.500 0.199 0.950
Nd5 0.500 0.583 0.273
Nd6 0.500 0.417 0.727
Nd7 0.500 0.083 0.227
Nd8 0.500 0.917 0.773
Nd9 0.500 0.500 0.000
Nd10 0.500 0.000 0.500
Dy1 0.000 0.328 0.289
Dy2 0.000 0.672 0.711
Dy3 0.000 0.828 0.211
Dy4 0.000 0.172 0.789
Er1 0.000 0.080 0.368
Er2 0.000 0.920 0.632
Er3 0.000 0.580 0.132
Er4 0.000 0.420 0.868
Er5 0.500 0.324 0.138
Er6 0.500 0.676 0.862
Er7 0.500 0.824 0.362
Er8 0.500 0.176 0.638
Er9 0.000 0.562 0.419
Er10 0.000 0.438 0.581
Er11 0.000 0.062 0.081
Er12 0.000 0.938 0.919


Entry 11:
Computed, not measured: a geometry-optimized Mg2CrCu structure at the PBE level of DFT.

Total moment in μB/atom: 0.954
Formation energy from the elements in meV/atom: 374
SG: R3m (160)

Cell lengths 9.418, 9.418, 9.418 Å; angles 18.22, 18.22, 18.22 degrees
Last column: magnetic moment on the atom in μB.
Sites, in units of the cell vectors:
Cr1 0.492 0.492 0.492  3.36
Cu1 0.754 0.754 0.754  0.09
Mg1 0.010 0.010 0.010  0.00
Mg2 0.244 0.244 0.244  -0.01


Entry 12:
Computed, not measured: a geometry-optimized Ac3Ga2SiNi6 structure at the PBE level of DFT.

Raw formation energy in meV/atom: -379
Total moment in μB/atom: 0.000
SG: P-3m1 (164)

Cell lengths 5.940, 5.940, 7.949 Å; angles 90.00, 90.00, 120.00 degrees
Sites, in units of the cell vectors:
Ac1 0.333 0.667 0.715
Ac2 0.667 0.333 0.285
Ac3 0.000 0.000 0.000
Ga1 0.667 0.333 0.878
Ga2 0.333 0.667 0.122
Si1 0.000 0.000 0.500
Ni1 0.611 0.805 0.374
Ni2 0.195 0.389 0.374
Ni3 0.195 0.805 0.374
Ni4 0.805 0.611 0.626
Ni5 0.389 0.195 0.626
Ni6 0.805 0.195 0.626


Which value of total moment does entry 12 give?
0.000 μB/atom


Which formula does entry 4 have?
Pm4GaTe2S


Number 9 is which compound?
FeTcTe2